VASP calculation (PBE-GGA) on NdMgCu5 after structural relaxation.

Results
**V**: 16.0 Å³/atom
**E_form**: -126 kJ/mol of formula units
**Magnetization**: 0.00 Bohr magnetons per cell
**Density**: 7.19 g cm⁻³
**DOS at the Fermi energy**: 12.7 states/eV/cell

Cell: 5.1133 8.3282 10.5488 Å, 90.00 90.00 90.00°
Atoms (fractional coordinates):
Nd 0.7500 0.2539 0.4403
Mg 0.7500 0.1382 0.1382
Cu 0.2500 0.5861 0.0162
Cu 0.7500 0.8152 0.7440
Nd 0.2500 0.7461 0.5597
Cu 0.7500 0.0532 0.8922
Cu 0.2500 0.0861 0.4838
Cu 0.5030 0.9323 0.3126
Nd 0.7500 0.7539 0.0597
Cu 0.4970 0.0677 0.6874
Cu 0.7500 0.9139 0.5162
Cu 0.5030 0.4323 0.1874
Mg 0.2500 0.8618 0.8618
Cu 0.4970 0.5677 0.8126
Cu 0.9970 0.9323 0.3126
Cu 0.2500 0.4468 0.3922
Cu 0.2500 0.1848 0.2560
Cu 0.0030 0.0677 0.6874
Cu 0.9970 0.4323 0.1874
Mg 0.7500 0.6382 0.3618
Cu 0.2500 0.9468 0.1078
Mg 0.2500 0.3618 0.6382
Cu 0.7500 0.5532 0.6078
Cu 0.0030 0.5677 0.8126
Nd 0.2500 0.2461 0.9403
Cu 0.7500 0.4139 0.9838
Cu 0.7500 0.3152 0.7560
Cu 0.2500 0.6848 0.2440

---

VASP calculation (PBE-GGA) on GaCo2NiPb after structural relaxation.

Results
**V**: 24.6 Å³/atom
**E_form**: 847 kJ/mol of formula units
**Magnetization**: 4.28 Bohr magnetons per cell
**Density**: 6.11 g cm⁻³
**DOS at the Fermi energy**: 12.2 states/eV/cell

Cell: 4.8397 5.2598 4.8397 Å, 90.00 90.00 90.00°
Site moments in Bohr magnetons follow the coordinates.
Atoms (fractional coordinates):
Ni 0.5000 0.5000 0.5000  0.88
Ga 0.0000 0.5000 0.0000  0.02
Co 0.0000 0.0000 0.5000  1.77
Co 0.5000 0.0000 0.0000  1.71
Pb 0.0000 0.0000 0.0000  -0.03

---

VASP calculation (PBE-GGA) on CsP2IrO after structural relaxation.

Results
**ΔE to the lowest computed polymorph**: 1967 meV/atom
**V**: 22.6 Å³/atom
**Magnetization**: 0.23 Bohr magnetons per cell
**Density**: 5.93 g cm⁻³
**DOS at the Fermi energy**: 5.0 states/eV/cell
**E_form (uncorrected)**: 2.227 eV per atom

Cell: 5.2879 5.2879 4.0344 Å, 90.00 90.00 90.00°
Site moments in Bohr magnetons follow the coordinates.
Atoms (fractional coordinates):
P 0.0000 0.5000 0.0000  -0.01
O 0.0000 0.0000 0.5000  0.00
P 0.5000 0.0000 0.0000  -0.01
Cs 0.0000 0.0000 0.0000  0.00
Ir 0.5000 0.5000 0.5000  0.25

---

VASP calculation (PBE-GGA) on SmTmPu2As4 after structural relaxation.

Results
**V**: 25.0 Å³/atom
**E_form**: -974 kJ/mol of formula units
**Magnetization**: 9.90 Bohr magnetons per cell
**Density**: 9.19 g cm⁻³
**DOS at the Fermi energy**: 21.4 states/eV/cell

Cell: 4.1456 7.1360 7.1770 Å, 70.41 90.00 90.00°
Site moments in Bohr magnetons follow the coordinates.
Atoms (fractional coordinates):
Pu 0.0000 0.0000 0.0000  5.05
As 0.0000 0.2446 0.2565  -0.10
Tm 0.0000 0.5000 0.5000  -0.05
As 0.0000 0.7554 0.7435  -0.10
Pu 0.5000 0.0000 0.5000  4.98
As 0.5000 0.2481 0.7460  -0.10
Sm 0.5000 0.5000 0.0000  0.00
As 0.5000 0.7519 0.2540  -0.10

---

VASP calculation (PBE-GGA) on Sm3TlNi8 after structural relaxation.

Results
**V**: 15.7 Å³/atom
**E_form**: -354 kJ/mol of formula units
**Magnetization**: 0.00 Bohr magnetons per cell
**Density**: 9.94 g cm⁻³
**DOS at the Fermi energy**: 9.5 states/eV/cell

Cell: 5.0967 5.0967 8.8582 Å, 73.28 73.28 60.00°
Atoms (fractional coordinates):
Ni 0.4371 0.9375 0.6880
Ni 0.1877 0.1877 0.4368
Ni 0.4366 0.9408 0.1860
Sm 0.3765 0.3765 0.8705
Ni 0.4366 0.4366 0.1860
Ni 0.9408 0.4366 0.1860
Sm 0.5041 0.5041 0.4876
Ni 0.6880 0.6880 0.9360
Sm 0.9952 0.9952 0.0143
Ni 0.9375 0.4371 0.6880
Ni 0.9375 0.9375 0.6880
Tl 0.8724 0.8724 0.3830

---

VASP calculation (PBE-GGA) on NpTeAs after structural relaxation.

Results
**V**: 25.4 Å³/atom
**Magnetization**: 3.91 Bohr magnetons per cell
**Density**: 9.57 g cm⁻³
**DOS at the Fermi energy**: 7.2 states/eV/cell
**E_form (uncorrected)**: -0.421 eV per atom

Cell: 3.8898 3.8898 5.7430 Å, 109.80 109.80 90.00°
Site moments in Bohr magnetons follow the coordinates.
Atoms (fractional coordinates):
As 0.2955 0.2955 0.5910  -0.04
Te 0.0176 0.0176 0.0353  -0.06
Np 0.6869 0.6869 0.3738  3.71

---

VASP calculation (PBE-GGA) on Ce3BSb after structural relaxation.

Results
**V**: 25.6 Å³/atom
**Magnetization**: 2.14 Bohr magnetons per cell
**Density**: 7.16 g cm⁻³
**DOS at the Fermi energy**: 10.9 states/eV/cell
**E_form (uncorrected)**: -0.414 eV per atom

Cell: 5.0419 5.0419 5.0419 Å, 90.00 90.00 90.00°
Site moments in Bohr magnetons follow the coordinates.
Atoms (fractional coordinates):
Ce 0.0000 0.5000 0.0000  0.58
B 0.0000 0.0000 0.0000  -0.02
Ce 0.0000 0.0000 0.5000  0.58
Sb 0.5000 0.5000 0.5000  -0.02
Ce 0.5000 0.0000 0.0000  0.58

---

VASP calculation (PBE-GGA) on KBaPb2 after structural relaxation.

Results
**ΔE to the lowest computed polymorph**: 0 meV/atom
**V**: 43.1 Å³/atom
**E_form**: -146 kJ/mol of formula units
**Magnetization**: 0.00 Bohr magnetons per cell
**Density**: 5.69 g cm⁻³
**DOS at the Fermi energy**: 7.8 states/eV/cell

Cell: 5.2962 8.0533 16.1748 Å, 90.00 90.00 90.00°
Atoms (fractional coordinates):
Ba 0.2500 0.2512 0.7997
Pb 0.2500 0.5572 0.3422
K 0.2500 0.2503 0.5257
Pb 0.7500 0.9428 0.8422
K 0.2500 0.7503 0.9743
Pb 0.2500 0.4407 0.1578
Pb 0.7500 0.5593 0.8422
Pb 0.7500 0.0593 0.6578
Ba 0.2500 0.7512 0.7003
Pb 0.2500 0.9407 0.3422
K 0.7500 0.7497 0.4743
Ba 0.7500 0.7488 0.2003
Pb 0.7500 0.4428 0.6577
Ba 0.7500 0.2488 0.2997
K 0.7500 0.2497 0.0257
Pb 0.2500 0.0572 0.1578

---

VASP calculation (PBE-GGA) on Nd2ErTl3Te6 after structural relaxation.

Results
**V**: 36.2 Å³/atom
**Magnetization**: 0.00 Bohr magnetons per cell
**Density**: 7.00 g cm⁻³
**E_form (uncorrected)**: -1.061 eV per atom

Cell: 7.8352 7.8352 8.5862 Å, 98.75 98.75 119.99°
Atoms (fractional coordinates):
Tl 0.1696 0.8304 0.5000
Te 0.9280 0.6040 0.7835
Tl 0.8304 0.1696 0.5000
Er 0.0000 0.0000 0.0000
Nd 0.6662 0.3338 0.0000
Te 0.2507 0.2507 0.7810
Te 0.6040 0.9280 0.7835
Te 0.7493 0.7493 0.2190
Nd 0.3338 0.6662 0.0000
Te 0.0720 0.3960 0.2165
Tl 0.5000 0.5000 0.5000
Te 0.3960 0.0720 0.2165

---

VASP calculation (PBE-GGA) on Tb3Pm4Te8 after structural relaxation.

Results
**V**: 32.2 Å³/atom
**Magnetization**: 0.00 Bohr magnetons per cell
**Density**: 7.13 g cm⁻³
**DOS at the Fermi energy**: 6.9 states/eV/cell
**E_form (uncorrected)**: -1.420 eV per atom

Cell: 8.8104 8.8119 8.8119 Å, 89.98 120.02 120.02°
Atoms (fractional coordinates):
Te 0.4845 0.7398 0.7398
Tb 0.5000 0.5000 0.0000
Te 0.5155 0.2602 0.2602
Te 0.0000 0.7423 0.2577
Tb 0.5000 0.0000 0.5000
Te 0.0050 0.2601 0.2601
Tb 0.5000 0.5000 0.5000
Te 0.9950 0.7399 0.7399
Pm 0.0000 0.0000 0.5000
Te 0.0000 0.2577 0.7423
Pm 0.0000 0.5000 0.0000
Te 0.5000 0.2525 0.7475
Pm 0.0000 0.0000 0.0000
Te 0.5000 0.7475 0.2525
Pm 0.5000 0.0000 0.0000

---

VASP calculation (PBE-GGA) on Zr2Co after structural relaxation.

Results
**V**: 18.8 Å³/atom
**E_form**: -58 kJ/mol of formula units
**Magnetization**: 0.00 Bohr magnetons per cell
**Density**: 7.10 g cm⁻³
**DOS at the Fermi energy**: 25.9 states/eV/cell

Cell: 8.6104 8.6104 8.6104 Å, 60.00 60.00 60.00°
Atoms (fractional coordinates):
Zr 0.0625 0.1875 0.0625
Co 0.3313 0.2229 0.7229
Co 0.6687 0.7771 0.2771
Co 0.2771 0.1687 0.2771
Zr 0.9375 0.8125 0.3125
Zr 0.3125 0.4375 0.9375
Zr 0.5000 0.0000 0.5000
Zr 0.3125 0.8125 0.9375
Zr 0.9375 0.8125 0.9375
Co 0.2771 0.7771 0.2771
Co 0.7229 0.2229 0.3313
Zr 0.6875 0.5625 0.6875
Zr 0.0625 0.5625 0.6875
Zr 0.6875 0.5625 0.0625
Zr 0.3125 0.4375 0.3125
Co 0.7229 0.2229 0.7229
Co 0.7229 0.8313 0.7229
Zr 0.0000 0.0000 0.5000
Zr 0.5000 0.5000 0.5000
Zr 0.6875 0.1875 0.0625
Co 0.2771 0.7771 0.6687
Zr 0.9375 0.4375 0.3125
Zr 0.5000 0.0000 0.0000
Zr 0.0625 0.1875 0.6875

---

VASP calculation (PBE-GGA) on V2MoHPt after structural relaxation.

Results
**ΔE to the lowest computed polymorph**: 0 meV/atom
**V**: 12.0 Å³/atom
**Magnetization**: 0.00 Bohr magnetons per cell
**Density**: 10.89 g cm⁻³
**DOS at the Fermi energy**: 5.7 states/eV/cell

Cell: 3.9684 3.9684 3.8147 Å, 90.00 90.00 90.00°
Atoms (fractional coordinates):
V 0.0000 0.5000 0.0000
Pt 0.5000 0.5000 0.5000
V 0.5000 0.0000 0.0000
H 0.0000 0.0000 0.0000
Mo 0.0000 0.0000 0.5000

---

VASP calculation (PBE-GGA) on ThSi3Ru3 after structural relaxation.

Results
**ΔE to the lowest computed polymorph**: 0 meV/atom
**V**: 18.8 Å³/atom
**Magnetization**: 0.00 Bohr magnetons per cell
**Density**: 7.83 g cm⁻³
**DOS at the Fermi energy**: 9.0 states/eV/cell
**E_form (uncorrected)**: -0.382 eV per atom

Cell: 6.7640 6.7640 7.6986 Å, 63.94 63.94 60.00°
Atoms (fractional coordinates):
Ru 0.0864 0.5125 0.6503
Ru 0.4875 0.2492 0.3497
Th 0.6659 0.6659 0.0023
Ru 0.5125 0.7508 0.6503
Si 0.8836 0.1785 0.2870
Ru 0.2492 0.9136 0.3497
Si 0.1785 0.6509 0.2870
Ru 0.9136 0.4875 0.3497
Th 0.3341 0.3341 0.9977
Si 0.8215 0.3491 0.7130
Si 0.3491 0.1164 0.7130
Si 0.6509 0.8836 0.2870
Ru 0.7508 0.0864 0.6503
Si 0.1164 0.8215 0.7130

---

VASP calculation (PBE-GGA) on Tm3Re after structural relaxation.

Results
**V**: 24.7 Å³/atom
**E_form**: 41 kJ/mol of formula units
**Magnetization**: 0.00 Bohr magnetons per cell
**Density**: 11.64 g cm⁻³
**DOS at the Fermi energy**: 4.8 states/eV/cell

Cell: 3.5671 5.1965 6.1938 Å, 114.80 106.74 90.00°
Atoms (fractional coordinates):
Tm 0.2976 0.7129 0.5951
Tm 0.7024 0.1178 0.4049
Tm 0.5000 0.4163 0.0000
Re 0.0000 0.9197 0.0000

---

VASP calculation (PBE-GGA) on La2YSb3Pd4 after structural relaxation.

Results
**V**: 23.9 Å³/atom
**Magnetization**: 0.00 Bohr magnetons per cell
**Density**: 8.04 g cm⁻³
**DOS at the Fermi energy**: 3.7 states/eV/cell
**E_form (uncorrected)**: -0.958 eV per atom

Cell: 4.5500 4.5500 11.5445 Å, 90.00 90.00 90.00°
Atoms (fractional coordinates):
Pd 0.0000 0.0000 0.0000
La 0.5000 0.0000 0.2140
Pd 0.5000 0.0000 0.6442
La 0.0000 0.5000 0.7860
Sb 0.0000 0.5000 0.1294
Sb 0.5000 0.0000 0.8706
Pd 0.5000 0.5000 0.0000
Y 0.5000 0.5000 0.5000
Sb 0.0000 0.0000 0.5000
Pd 0.0000 0.5000 0.3558

---

VASP calculation (PBE-GGA) on Na3U3CrN8 after structural relaxation.

Results
**V**: 14.9 Å³/atom
**Magnetization**: 3.00 Bohr magnetons per cell
**Density**: 7.02 g cm⁻³
**E_form (uncorrected)**: -0.841 eV per atom

Cell: 6.7733 6.7735 6.8582 Å, 119.57 90.00 120.00°
Site moments in Bohr magnetons follow the coordinates.
Atoms (fractional coordinates):
Na 0.0000 0.0000 0.0000  0.00
N 0.2249 0.9465 0.6715  -0.03
Cr 0.0000 0.0000 0.5000  2.66
N 0.7751 0.5502 0.3285  -0.03
N 0.7216 0.9465 0.6715  -0.03
N 0.7298 0.4596 0.6895  0.00
N 0.2784 0.0535 0.3285  -0.03
N 0.7751 0.0535 0.3285  -0.03
U 0.0000 0.5000 0.5000  0.14
U 0.5000 0.0000 0.5000  0.14
U 0.5000 0.5000 0.5000  0.14
Na 0.0000 0.5000 0.0000  0.00
N 0.2249 0.4498 0.6715  -0.03
Na 0.5000 0.5000 0.0000  0.00
N 0.2702 0.5404 0.3105  0.00

---

VASP calculation (PBE-GGA) on Pu3As2O2 after structural relaxation.

Results
**ΔE to the lowest computed polymorph**: 0 meV/atom
**V**: 19.9 Å³/atom
**Magnetization**: 13.99 Bohr magnetons per cell
**Density**: 10.92 g cm⁻³
**DOS at the Fermi energy**: 22.3 states/eV/cell
**E_form (uncorrected)**: -1.964 eV per atom

Cell: 3.9164 6.3378 6.6274 Å, 64.81 72.81 72.00°
Site moments in Bohr magnetons follow the coordinates.
Atoms (fractional coordinates):
As 0.4345 0.7897 0.3413  -0.21
Pu 0.8122 0.6416 0.7340  4.93
As 0.5655 0.2103 0.6587  -0.21
O 0.7943 0.3237 0.0877  -0.15
Pu 0.1878 0.3584 0.2660  4.93
O 0.2057 0.6763 0.9123  -0.15
Pu 0.0000 0.0000 0.0000  4.65

---

VASP calculation (PBE-GGA) on LiTa2Si after structural relaxation.

Results
**V**: 15.9 Å³/atom
**Magnetization**: 0.53 Bohr magnetons per cell
**Density**: 10.36 g cm⁻³
**DOS at the Fermi energy**: 4.4 states/eV/cell
**E_form (uncorrected)**: 0.225 eV per atom

Cell: 4.4815 4.4815 4.4815 Å, 60.00 60.00 60.00°
Site moments in Bohr magnetons follow the coordinates.
Atoms (fractional coordinates):
Li 0.5000 0.5000 0.5000  0.00
Ta 0.2500 0.2500 0.2500  0.26
Si 0.7500 0.7500 0.7500  0.00
Ta 0.0000 0.0000 0.0000  0.14

---

VASP calculation (PBE-GGA) on Li2TlGa after structural relaxation.

Results
**ΔE to the lowest computed polymorph**: 0 meV/atom
**V**: 18.2 Å³/atom
**E_form**: -85 kJ/mol of formula units
**Magnetization**: 0.00 Bohr magnetons per cell
**Density**: 6.56 g cm⁻³
**DOS at the Fermi energy**: 1.3 states/eV/cell

Cell: 4.6888 4.6888 4.6888 Å, 60.00 60.00 60.00°
Atoms (fractional coordinates):
Tl 0.5000 0.5000 0.5000
Ga 0.0000 0.0000 0.0000
Li 0.7500 0.7500 0.7500
Li 0.2500 0.2500 0.2500

---

VASP calculation (PBE-GGA) on Tl2CdGa6 after structural relaxation.

Results
**V**: 22.7 Å³/atom
**E_form**: 37 kJ/mol of formula units
**Magnetization**: 0.00 Bohr magnetons per cell
**Density**: 7.64 g cm⁻³
**DOS at the Fermi energy**: 2.6 states/eV/cell

Cell: 6.0437 6.0500 6.7005 Å, 76.44 90.00 119.97°
Atoms (fractional coordinates):
Ga 0.1252 0.2504 0.3302
Ga 0.8748 0.7496 0.6698
Cd 0.0000 0.0000 0.0000
Tl 0.3358 0.6715 0.8714
Ga 0.5962 0.7504 0.3544
Ga 0.4038 0.2496 0.6456
Ga 0.8458 0.2496 0.6456
Tl 0.6642 0.3285 0.1286
Ga 0.1542 0.7504 0.3544

---

VASP calculation (PBE-GGA) on AcPuWN4 after structural relaxation.

Results
**V**: 14.7 Å³/atom
**Magnetization**: 9.55 Bohr magnetons per cell
**Density**: 11.45 g cm⁻³
**DOS at the Fermi energy**: 17.4 states/eV/cell
**E_form (uncorrected)**: -0.927 eV per atom

Cell: 5.6264 5.6563 7.0608 Å, 90.00 113.48 90.00°
Site moments in Bohr magnetons follow the coordinates.
Atoms (fractional coordinates):
N 0.5900 0.2500 0.1801  -0.03
N 0.5000 0.0000 0.5000  -0.04
N 0.4100 0.7500 0.8199  -0.03
Ac 0.3925 0.2500 0.7850  0.03
N 0.0677 0.7500 0.1354  -0.20
Ac 0.6075 0.7500 0.2150  0.03
N 0.9323 0.2500 0.8646  -0.20
N 0.0000 0.0000 0.5000  -0.04
W 0.7372 0.2500 0.4744  0.12
Pu 0.9000 0.7500 0.8000  4.81
N 0.5000 0.5000 0.5000  -0.04
Pu 0.1000 0.2500 0.2000  4.81
N 0.0000 0.5000 0.5000  -0.04
W 0.2628 0.7500 0.5256  0.12

---

VASP calculation (PBE-GGA) on PaNbN after structural relaxation.

Results
**ΔE to the lowest computed polymorph**: 0 meV/atom
**V**: 16.6 Å³/atom
**Magnetization**: 0.00 Bohr magnetons per cell
**Density**: 11.28 g cm⁻³
**DOS at the Fermi energy**: 2.9 states/eV/cell
**E_form (uncorrected)**: -0.711 eV per atom

Cell: 5.6488 3.1884 3.1884 Å, 120.00 90.00 90.00°
Atoms (fractional coordinates):
Pa 0.7371 0.6667 0.3333
Nb 0.2334 0.3333 0.6667
N 0.0296 0.0000 0.0000